Pr3Al2Ni9 | Alexandria via LeMat-Bulk | PBE | optimized geometry; total magnetization = 0.00 μB per cell; calculated formation energy = -0.344 eV/atom
1.0
4.0041 0.0000 0.0000
2.0021 7.7322 0.1543
2.0021 1.9029 7.4959
Ni Pr Al
9 3 2
direct
0.8928 0.3861 0.8284 Ni
0.0000 0.5000 0.5000 Ni
0.6946 0.6117 0.9992 Ni
0.8928 0.8284 0.3861 Ni
0.3054 0.0008 0.3883 Ni
0.3054 0.3883 0.0008 Ni
0.6946 0.9992 0.6117 Ni
0.1072 0.1716 0.6139 Ni
0.1072 0.6139 0.1716 Ni
0.2977 0.7023 0.7023 Pr
0.7023 0.2977 0.2977 Pr
0.0000 0.0000 0.0000 Pr
0.5000 0.2877 0.7123 Al
0.5000 0.7123 0.2877 Al

=====

AcY4S6 | Alexandria via LeMat-Bulk | PBE | optimized geometry; total magnetization = 0.00 μB per cell; formation energy (no corrections) = -2.079 eV per atom
1.0
3.9645 0.0000 0.0000
-1.9823 6.4721 0.0000
0.0000 0.0000 20.0574
Y S Ac
8 12 2
direct
0.4058 0.8115 0.3760 Y
0.8605 0.7210 0.9610 Y
0.1395 0.2790 0.0390 Y
0.5942 0.1885 0.8760 Y
0.5942 0.1885 0.6240 Y
0.8605 0.7210 0.5390 Y
0.4058 0.8115 0.1240 Y
0.1395 0.2790 0.4610 Y
0.2335 0.4670 0.9107 S
0.0435 0.0871 0.1619 S
0.5000 0.0000 0.5000 S
0.9565 0.9129 0.6619 S
0.7665 0.5330 0.4107 S
0.2335 0.4670 0.5893 S
0.5000 0.0000 0.0000 S
0.7665 0.5330 0.0893 S
0.0435 0.0871 0.3381 S
0.9565 0.9129 0.8381 S
0.3258 0.6517 0.2500 S
0.6742 0.3483 0.7500 S
0.6577 0.3153 0.2500 Ac
0.3423 0.6847 0.7500 Ac

=====

LiGePd | Alexandria via LeMat-Bulk | PBE | optimized geometry; total magnetization = 0.00 μB per cell; calculated formation energy = -0.508 eV/atom
1.0
-0.4993 0.2465 4.2292
1.9091 -3.3949 -1.7280
4.9795 2.5836 0.4374
Li Pd Ge
2 2 2
direct
0.6664 0.3328 0.3919 Li
0.3336 0.6672 0.6081 Li
0.3331 0.6663 0.1295 Pd
0.6669 0.3337 0.8705 Pd
0.0004 0.0007 0.7529 Ge
0.9996 0.9993 0.2471 Ge

=====

Cr3MoI | Alexandria via LeMat-Bulk | PBE | optimized geometry; total magnetization = 0.00 μB per cell; polymorph energy (0 for the lowest one) = 0.911 eV per atom; formation energy (no corrections) = 2.299 eV per atom
1.0
4.5329 0.0000 0.0000
0.0000 4.5329 0.0000
0.0000 0.0000 4.5329
Cr Mo I
3 1 1
direct
0.0000 0.5000 0.0000 Cr
0.5000 0.0000 0.0000 Cr
0.0000 0.0000 0.5000 Cr
0.5000 0.5000 0.5000 Mo
0.0000 0.0000 0.0000 I

=====

Tl2HgBr2F2 | Alexandria via LeMat-Bulk | PBE | optimized geometry; total magnetization = 0.00 μB per cell; formation energy (no corrections) = -1.165 eV per atom
1.0
-4.7530 0.9114 0.5333
-0.6438 -4.4501 1.8678
4.0891 4.6817 6.2174
F Br Hg Tl
2 2 1 2
direct
0.0000 0.5000 0.0000 F
0.5000 0.0000 0.0000 F
0.8359 0.8359 0.6719 Br
0.1641 0.1641 0.3281 Br
0.0000 0.0000 0.0000 Hg
0.6162 0.6162 0.2324 Tl
0.3838 0.3838 0.7676 Tl

=====

Dy2Os3 | Alexandria via LeMat-Bulk | PBE | optimized geometry; total magnetization = 0.00 μB per cell; calculated formation energy = -0.167 eV/atom
1.0
-2.2188 4.9351 -1.6784
-4.7054 2.3411 2.1151
4.2880 3.7576 5.3803
Os Dy
6 4
direct
0.5000 0.5000 0.5000 Os
0.3471 0.8471 0.2500 Os
0.8471 0.3471 0.2500 Os
0.6529 0.1529 0.7500 Os
0.0000 0.0000 0.0000 Os
0.1529 0.6529 0.7500 Os
0.6563 0.6563 0.9028 Dy
0.1563 0.1563 0.5972 Dy
0.8437 0.8437 0.4028 Dy
0.3437 0.3437 0.0972 Dy

=====

TiSb2OsI | Alexandria via LeMat-Bulk | PBE | optimized geometry; total magnetization = 0.14 μB per cell; polymorph energy (0 for the lowest one) = 0.000 eV per atom; formation energy (no corrections) = 1.016 eV per atom
1.0
5.0703 0.0000 0.0000
0.0000 5.0703 0.0000
0.0000 0.0000 5.6173
Os I Ti Sb
1 1 1 2
direct
0.0000 0.0000 0.0000 Os
0.0000 0.0000 0.5000 I
0.5000 0.5000 0.5000 Ti
0.0000 0.5000 0.0000 Sb
0.5000 0.0000 0.0000 Sb

=====

NaCr3Pd | Alexandria via LeMat-Bulk | PBE | optimized geometry; total magnetization = 13.18 μB per cell; polymorph energy (0 for the lowest one) = 0.000 eV per atom; calculated formation energy = 1.129 eV/atom
1.0
5.0058 0.0000 0.0000
0.0000 5.0058 0.0000
0.0000 0.0000 5.0058
Cr Pd Na
3 1 1
direct
0.5000 0.0000 0.0000 Cr
0.0000 0.5000 0.0000 Cr
0.0000 0.0000 0.5000 Cr
0.0000 0.0000 0.0000 Pd
0.5000 0.5000 0.5000 Na

=====

Ho3ScHg | Alexandria via LeMat-Bulk | PBE | optimized geometry; total magnetization = 0.00 μB per cell; calculated formation energy = -0.106 eV/atom
1.0
6.4349 -0.3707 -0.9947
-2.1171 6.0880 0.9947
-3.2018 -2.0710 7.6387
Ho Hg Sc
6 2 2
direct
0.1782 0.5553 0.7335 Ho
0.2263 0.4083 0.1386 Ho
0.7737 0.5917 0.8614 Ho
0.7303 0.9123 0.1386 Ho
0.2697 0.0877 0.8614 Ho
0.8218 0.4447 0.2665 Ho
0.7344 0.7649 0.4993 Hg
0.2656 0.2351 0.5007 Hg
0.6824 0.0607 0.7431 Sc
0.3176 0.9393 0.2569 Sc

=====

TlGe2B | Alexandria via LeMat-Bulk | PBE | optimized geometry; total magnetization = 0.00 μB per cell; polymorph energy (0 for the lowest one) = 0.000 eV per atom; calculated formation energy = 0.451 eV/atom
1.0
-2.3484 1.6956 -5.0402
-5.2433 0.1807 2.5038
-3.0336 5.7138 -0.0167
B Tl Ge
2 2 4
direct
0.2500 0.7500 0.5000 B
0.5000 0.5000 0.0000 B
0.0000 0.0000 0.0000 Tl
0.7500 0.2500 0.5000 Tl
0.5231 0.1250 0.2500 Ge
0.3750 0.4769 0.7500 Ge
0.2269 0.6250 0.2500 Ge
0.8750 0.7731 0.7500 Ge

=====

La4Pm5Ho4 | Alexandria via LeMat-Bulk | PBE | optimized geometry; total magnetization = 0.00 μB per cell; calculated formation energy = 0.024 eV/atom
1.0
5.0061 0.0000 1.2728
2.5031 9.2836 0.6363
0.2154 -0.0001 9.6337
La Pm Ho
4 5 4
direct
0.3825 0.6952 0.5398 La
0.6175 0.3048 0.4602 La
0.9223 0.4602 0.6952 La
0.0777 0.5398 0.3048 La
0.3105 0.1479 0.2311 Pm
0.4584 0.2311 0.8521 Pm
0.6895 0.8521 0.7689 Pm
0.5416 0.7689 0.1479 Pm
0.0000 0.0000 0.0000 Pm
0.7695 0.3840 0.0770 Ho
0.1535 0.0771 0.6160 Ho
0.8465 0.9229 0.3840 Ho
0.2305 0.6160 0.9230 Ho

=====

Th7Al2In2 | Alexandria via LeMat-Bulk | PBE | optimized geometry; total magnetization = 0.00 μB per cell; calculated formation energy = 0.134 eV/atom
1.0
6.9878 -0.0031 -0.7873
0.0028 7.3252 0.0037
-1.2211 -0.0021 6.9252
Al Th In
2 7 2
direct
0.2787 0.0000 0.7213 Al
0.7213 0.0000 0.2787 Al
0.4999 0.2800 0.0000 Th
0.5000 0.2550 0.5000 Th
0.0000 0.0000 0.0000 Th
0.5001 0.7200 0.0000 Th
0.5000 0.7450 0.5000 Th
0.0000 0.7200 0.4999 Th
0.0000 0.2800 0.5001 Th
0.8337 0.5000 0.8337 In
0.1663 0.5000 0.1663 In